First-principles (PBE with a Hubbard U) data for a relaxed PmVC2O8 crystal, as listed in the Alexandria database.

Summary:
Symmetry: C2/m, No. 12
VASP energy (eV/atom): -7.43

POSCAR file:
```
PmVC2O8
1.0
4.035 -2.544 0.000
4.035 2.544 0.000
-2.197 0.000 5.500
Pm V C O
1 1 2 8
Cartesian
0.000 0.000 0.000
2.936 0.000 2.750
0.279 0.000 3.616
5.594 0.000 1.885
2.425 1.438 1.501
0.683 0.000 2.348
3.447 1.438 3.999
1.422 0.000 4.363
4.450 0.000 1.137
2.425 -1.438 1.501
5.190 0.000 3.153
3.447 -1.438 3.999
```